58
Lattice="-3.936 4.532 -0.154 1.067 -2.875 5.162 22.445 19.706 6.335" Properties=species:S:1:pos:R:3 comment="Ba6Na2Nb2V2O17 | the Alexandria database | GGA+U | optimized geometry" final_energy_ha_per_atom=-0.2646 e_above_lowest_polymorph_mev_per_atom=11.3 pbc="T T T"
Ba 6.528 5.853 5.402
Ba 13.048 15.510 5.941
Ba 16.083 18.175 6.798
Ba 3.493 3.188 4.546
Ba 11.222 9.853 3.168
Ba 0.000 0.000 0.000
Ba 19.822 17.524 9.155
Ba -0.245 3.839 2.189
Ba 6.932 10.140 4.215
Ba 12.645 11.223 7.129
Ba 5.611 4.926 1.584
Ba 16.834 14.779 4.752
Na 8.443 7.413 2.383
Na 14.002 12.293 3.952
Na 19.666 17.266 5.551
Na 2.779 2.440 0.784
Nb 17.327 15.334 8.451
Nb 2.249 6.029 2.893
Nb 4.437 7.950 3.511
Nb 15.139 13.413 7.833
V 9.463 8.430 6.231
V 10.113 12.933 5.113
V 19.018 20.752 7.626
V 0.558 0.611 3.717
O 21.733 19.202 9.694
O -2.157 2.161 1.649
O 8.843 11.818 4.754
O 10.733 9.544 6.589
O 16.957 16.937 9.420
O 2.620 4.425 1.923
O 18.322 16.149 7.038
O 6.225 7.591 2.941
O 1.255 5.214 4.306
O 13.352 13.772 8.403
O 18.829 14.781 9.494
O 4.860 8.379 5.324
O 0.747 6.582 1.850
O 14.716 12.984 6.020
O 4.352 9.747 2.868
O 15.224 11.616 8.476
O 2.303 7.936 3.944
O 17.273 13.427 7.400
O 3.618 7.176 1.647
O 15.958 14.187 9.696
O 4.108 5.857 4.015
O 15.468 15.506 7.329
O 7.944 9.014 6.871
O 11.632 12.348 4.473
O 9.302 8.230 4.500
O 19.645 19.384 6.735
O 10.275 13.133 6.843
O -0.069 1.979 4.609
O 9.807 6.869 6.944
O 18.288 20.168 9.105
O 9.770 14.493 4.400
O 1.288 1.195 2.239
O 17.783 21.529 6.662
O 1.794 -0.166 4.682